No. 1
Entry from the Alexandria database: PaPdPb2 after structural relaxation (PBE-GGA).

Summary:
excess energy over the best structure of this formula in the dataset = 0.0000 eV/atom
total energy = -22.5 eV/f.u.
density = 12.77 Mg/m³
spin magnetization = 0.7 μB per cell
energy of formation from the pure elements = -86 meV/atom

Cell lengths 4.6559, 4.6559, 4.5085 Å; angles 90.00, 90.00, 90.00 degrees
Element x y z (fractional)
Pa  0.0000  0.0000  0.0000
Pd  0.5000  0.5000  0.0000
Pb  0.0000  0.5000  0.5000
Pb  0.5000  0.0000  0.5000

=====

No. 2
Entry from the Alexandria database: PaGe2Rh after structural relaxation (PBE-GGA).

Summary:
total energy = -28.8 eV/f.u.
density = 10.46 Mg/m³
spin magnetization = 0.0 μB per cell
energy of formation from the pure elements = -670 meV/atom

Cell lengths 9.4740, 9.4740, 9.4740 Å; angles 153.71, 125.50, 61.49 degrees
Element x y z (fractional)
Pa  0.2047  0.2047  0.0000
Pa  0.2445  0.0000  0.2445
Pa  0.7555  0.0000  0.7555
Pa  0.7953  0.7953  0.0000
Ge  0.0738  0.5738  0.5000
Ge  0.1523  0.8035  0.3488
Ge  0.4253  0.4253  0.0000
Ge  0.4548  0.8035  0.6512
Ge  0.5452  0.1965  0.3488
Ge  0.5747  0.5747  0.0000
Ge  0.8477  0.1965  0.6512
Ge  0.9262  0.4262  0.5000
Rh  0.1007  0.3523  0.7484
Rh  0.3960  0.6477  0.7484
Rh  0.6040  0.3523  0.2516
Rh  0.8993  0.6477  0.2516

=====

No. 3
Entry from the Alexandria database: Ag2Cl after structural relaxation (PBE-GGA).

Summary:
excess energy over the best structure of this formula in the dataset = 0.0000 eV/atom
total energy = -8.2 eV/f.u.
density = 6.05 Mg/m³
spin magnetization = 0.0 μB per cell
formation energy (no corrections) = -0.221 eV/atom

Cell lengths 8.3136, 8.3136, 4.1345 Å; angles 90.00, 90.00, 151.14 degrees
Element x y z (fractional)
Ag  0.0642  0.9358  0.7500
Ag  0.4348  0.5652  0.7500
Ag  0.5652  0.4348  0.2500
Ag  0.9358  0.0642  0.2500
Cl  0.3275  0.6725  0.2500
Cl  0.6725  0.3275  0.7500

=====

No. 4
Entry from the Alexandria database: NaSmGaTe3 after structural relaxation (PBE-GGA).

Summary:
total energy = -23.8 eV/f.u.
density = 4.53 Mg/m³
spin magnetization = 0.0 μB per cell
formation energy (no corrections) = -0.880 eV/atom

Cell lengths 8.9922, 4.5109, 11.7820 Å; angles 90.00, 106.26, 90.00 degrees
Element x y z (fractional)
Na  0.1762  0.2500  0.1421
Na  0.8238  0.7500  0.8579
Sm  0.3343  0.7500  0.8656
Sm  0.6657  0.2500  0.1344
Ga  0.0610  0.2500  0.6084
Ga  0.9390  0.7500  0.3916
Te  0.0783  0.2500  0.8472
Te  0.2314  0.7500  0.5795
Te  0.4269  0.7500  0.1429
Te  0.5731  0.2500  0.8571
Te  0.7686  0.2500  0.4205
Te  0.9217  0.7500  0.1528